LiAg2Rh after structural relaxation, computed with PBE-GGA.

SG: No. 166
energy: -3.683 eV/atom
crystal system: trigonal
magnetic moment: 0.53 μB/cell

a = 9.4231 Å, b = 9.4231 Å, c = 9.4231 Å
α = 17.20°, β = 17.20°, γ = 17.20°
Closest atoms and distances in Å follow each position.
Atoms (fractional coordinates):
Ag (0.9984, 0.9984, 0.9984)  3 Li 2.80, 6 Ag 2.82, 3 Rh 2.87
Ag (0.5016, 0.5016, 0.5016)  3 Li 2.80, 6 Ag 2.82, 3 Rh 2.87
Li (0.2500, 0.2500, 0.2500)  6 Ag 2.80, 6 Li 2.82
Rh (0.7500, 0.7500, 0.7500)  6 Rh 2.82, 6 Ag 2.87